Below is a relaxed structure of CrAg2HgCl6, with properties calculated at the GGA-PBE level.

Lattice parameters (Å, degrees): 7.197 6.782 8.526 87.57 126.64 122.48
Site moments in Bohr magnetons follow the coordinates.
Sites, in units of the cell vectors:
1 Cl 0.178 0.501 0.321  -0.03
2 Cr 0.996 0.498 0.480  2.71
3 Cl 0.790 0.680 0.265  -0.04
4 Cl 0.816 0.494 0.640  -0.03
5 Cl 0.203 0.315 0.695  -0.04
6 Cl 0.553 0.090 0.216  -0.09
7 Cl 0.440 0.905 0.744  -0.09
8 Hg 0.997 0.998 0.980  -0.18
9 Ag 0.731 0.868 0.534  -0.03
10 Ag 0.262 0.127 0.426  -0.03

Output
- total magnetic moment (μB/cell) = 2.2
- calculated volume (Å³/atom) = 25.685
- formation energy (no corrections) (eV/atom) = -0.63